A plane-wave DFT calculation with SCAN was carried out for a crystal of Al3PtC relaxed with PBEsol.

* crystal system: cubic
* density of states at the Fermi level: 1.9 states/eV per cell
* E_form: 0.797 eV/atom
* VASP energy: -19.913 eV/atom

Cell lengths 4.694, 4.694, 4.694 Å; angles 90.00, 90.00, 90.00 degrees
Space group Pm-3m (No. 221)
Inequivalent atoms, fractional coordinates:
Al 0.000 0.000 0.500 [3 per cell]
Pt 0.000 0.000 0.000 [1 per cell]
C 0.500 0.500 0.500 [1 per cell]

***

A plane-wave DFT calculation with SCAN was carried out for a crystal of Rb3AlC relaxed with PBEsol.

* crystal system: cubic
* density of states at the Fermi level: 2.4 states/eV per cell
* E_form: 1.050 eV/atom
* VASP energy: -14.964 eV/atom

Cell lengths 5.963, 5.963, 5.963 Å; angles 90.00, 90.00, 90.00 degrees
Space group Pm-3m (No. 221)
Inequivalent atoms, fractional coordinates:
Rb 0.000 0.000 0.500 [3 per cell]
Al 0.500 0.500 0.500 [1 per cell]
C 0.000 0.000 0.000 [1 per cell]

***

A plane-wave DFT calculation with SCAN was carried out for a crystal of Rb2AlC relaxed with PBEsol.

* crystal system: tetragonal
* density of states at the Fermi level: 6.5 states/eV per cell
* E_form: 0.521 eV/atom
* VASP energy: -14.311 eV/atom

Cell lengths 12.835, 12.835, 3.738 Å; angles 90.00, 90.00, 90.00 degrees
Space group I-42d (No. 122)
Inequivalent atoms, fractional coordinates:
Rb 0.041 0.250 0.125 [8 per cell]
Al 0.000 0.000 0.500 [4 per cell]
C 0.000 0.000 0.000 [4 per cell]

***

A plane-wave DFT calculation with SCAN was carried out for a crystal of RbAlC3 relaxed with PBEsol.

* crystal system: cubic
* density of states at the Fermi level: 3.3 states/eV per cell
* E_form: 2.248 eV/atom
* VASP energy: -9.510 eV/atom

Cell lengths 4.129, 4.129, 4.129 Å; angles 90.00, 90.00, 90.00 degrees
Space group Pm-3m (No. 221)
Inequivalent atoms, fractional coordinates:
Rb 0.000 0.000 0.000 [1 per cell]
Al 0.500 0.500 0.500 [1 per cell]
C 0.000 0.500 0.500 [3 per cell]